VASP calculation (PBE with a Hubbard U) on a relaxed structure of Sr2MnI2O2.

## Properties
**VASP energy**: -5.40 eV per atom
**Symmetry**: No. 139

abc: 4.2559 4.2559 10.7365
angles: 101.43 101.43 90.00
Atoms (fractional coordinates):
Sr1 0.4214 0.4214 0.8428
Sr2 0.5786 0.5786 0.1572
Mn1 0.0000 0.0000 0.0000
I1 0.1594 0.1594 0.3187
I2 0.8406 0.8406 0.6813
O1 0.0000 0.5000 0.0000
O2 0.5000 0.0000 0.0000